Here is an optimized crystal structure of HfMn2NiO6 from the Alexandria database. Energies are from GGA+U.

Computed properties:
For the density, the calculation gives 6.58 Mg/m³. The raw total energy comes out at -7.72 eV per atom. For the total magnetization, the calculation gives 10.0 μB per cell.

Lattice parameters (Å, degrees): 5.212 5.231 5.536 87.85 61.94 60.25
Space group P1 (No. 1)
Inequivalent atoms, fractional coordinates:
Hf: 0.000 0.000 0.000
Mn: 0.584 0.709 0.118
Mn: 0.585 0.212 0.611
Ni: 0.984 0.505 0.512
O: 0.058 0.108 0.334
O: 0.117 0.294 0.802
O: 0.478 0.616 0.838
O: 0.491 0.409 0.314
O: 0.768 0.922 0.824
O: 0.777 0.794 0.303